A plane-wave DFT calculation with GGA-PBE was carried out for a relaxed structure of Dy7Ga2Cu2.

Cell: 6.6929 6.6929 6.9393 Å, 90.00 90.00 109.91°
Positions (direct):
1 Dy 0.0000 0.0000 0.0000
2 Dy 0.0000 0.5000 0.2646
3 Dy 0.0000 0.5000 0.7354
4 Dy 0.5000 0.0000 0.2646
5 Dy 0.5000 0.0000 0.7354
6 Dy 0.5000 0.5000 0.2534
7 Dy 0.5000 0.5000 0.7466
8 Ga 0.1661 0.1661 0.5000
9 Ga 0.8339 0.8339 0.5000
10 Cu 0.2963 0.7037 0.0000
11 Cu 0.7037 0.2963 0.0000

Summary:
Energy of formation from the pure elements   -9 kJ/mol of atoms
DOS at the Fermi energy   10.72 states/eV/f.u.